Entry 1:
Compound: Rb2MgTaTl
Source: the Alexandria database
Functional: PBE
Structure: optimized geometry

**ρ**: 3625 kg/m3
**ΔH_f (0 K)**: 583 kJ/mol of formula units

Lattice parameters (Å, degrees): 6.988 5.447 6.988 90.00 90.00 90.00
Last column: magnetic moment on the atom in μB.
Sites, in units of the cell vectors:
Tl1 0.000 0.500 0.000  0.01
Mg1 0.500 0.500 0.500  0.00
Rb1 0.000 0.000 0.500  0.03
Rb2 0.500 0.000 0.000  0.03
Ta1 0.000 0.000 0.000  1.68

Entry 2:
Compound: Rb3Tb3MgTe8
Source: the Alexandria database
Functional: PBE
Structure: optimized geometry

**ρ**: 4984 kg/m3
**Energy relative to the elements, uncorrected**: -1120 meV/atom

Lattice parameters (Å, degrees): 8.777 8.752 10.237 115.16 90.00 120.09
Sites, in units of the cell vectors:
Rb1 0.000 0.000 0.000
Rb2 0.000 0.500 0.000
Rb3 0.500 0.500 0.000
Tb1 0.500 0.000 0.500
Tb2 0.500 0.500 0.500
Tb3 0.000 0.500 0.500
Mg1 0.000 0.000 0.500
Te1 0.266 0.532 0.298
Te2 0.734 0.468 0.702
Te3 0.769 0.538 0.303
Te4 0.231 0.462 0.697
Te5 0.768 0.034 0.303
Te6 0.232 0.966 0.697
Te7 0.265 0.034 0.303
Te8 0.735 0.966 0.697

Entry 3:
Compound: Rb3Tb2MgTe6
Source: the Alexandria database
Functional: PBE
Structure: optimized geometry

**ρ**: 5057 kg/m3
**Energy relative to the elements, uncorrected**: -1150 meV/atom

Lattice parameters (Å, degrees): 7.729 7.729 9.038 98.21 98.21 120.02
Sites, in units of the cell vectors:
Rb1 0.169 0.831 0.500
Rb2 0.831 0.169 0.500
Rb3 0.500 0.500 0.500
Tb1 0.334 0.666 0.000
Tb2 0.666 0.334 0.000
Mg1 0.000 0.000 0.000
Te1 0.934 0.607 0.803
Te2 0.738 0.738 0.198
Te3 0.066 0.393 0.197
Te4 0.607 0.934 0.803
Te5 0.262 0.262 0.802
Te6 0.393 0.066 0.197

Entry 4:
Compound: RbTb2MgTe4
Source: the Alexandria database
Functional: PBE
Structure: optimized geometry

**ρ**: 5653 kg/m3
**Energy relative to the elements, uncorrected**: -1182 meV/atom

Lattice parameters (Å, degrees): 4.487 8.068 15.845 90.00 90.00 106.15
Sites, in units of the cell vectors:
Rb1 0.119 0.237 0.750
Rb2 0.881 0.763 0.250
Tb1 0.375 0.750 0.555
Tb2 0.625 0.250 0.055
Tb3 0.625 0.250 0.445
Tb4 0.375 0.750 0.945
Mg1 0.837 0.673 0.750
Mg2 0.163 0.327 0.250
Te1 0.262 0.525 0.107
Te2 0.738 0.475 0.607
Te3 0.738 0.475 0.893
Te4 0.262 0.525 0.393
Te5 0.000 0.000 0.500
Te6 0.000 0.000 0.000
Te7 0.440 0.879 0.750
Te8 0.560 0.121 0.250

Entry 5:
Compound: RbMg2Tc2
Source: the Alexandria database
Functional: PBE
Structure: optimized geometry

**ρ**: 3936 kg/m3
**ΔH_f (0 K)**: 258 kJ/mol of formula units

Lattice parameters (Å, degrees): 3.516 3.516 11.535 81.23 81.23 90.00
Sites, in units of the cell vectors:
Mg1 0.353 0.353 0.294
Mg2 0.647 0.647 0.706
Tc1 0.750 0.250 0.500
Tc2 0.250 0.750 0.500
Rb1 0.000 0.000 0.000

Entry 6:
Compound: Rb2MgTc
Source: the Alexandria database
Functional: PBE
Structure: optimized geometry

**ρ**: 2142 kg/m3
**ΔH_f (0 K)**: 451 kJ/mol of formula units

Lattice parameters (Å, degrees): 13.119 13.119 9.646 47.15 47.15 90.00
Last column: magnetic moment on the atom in μB.
Sites, in units of the cell vectors:
Mg1 0.500 0.500 0.000  -0.01
Mg2 0.250 0.750 0.500  -0.01
Tc1 0.000 0.000 0.000  2.49
Tc2 0.750 0.250 0.500  2.49
Rb1 0.793 0.125 0.250  0.01
Rb2 0.957 0.625 0.250  0.01
Rb3 0.375 0.207 0.750  0.01
Rb4 0.875 0.043 0.750  0.01

Entry 7:
Compound: RbMg3Tc
Source: the Alexandria database
Functional: PBE
Structure: optimized geometry

**ρ**: 1766 kg/m3
**ΔH_f (0 K)**: 964 kJ/mol of formula units

Lattice parameters (Å, degrees): 6.223 6.223 6.223 90.00 90.00 90.00
Last column: magnetic moment on the atom in μB.
Sites, in units of the cell vectors:
Mg1 0.000 0.500 0.000  0.00
Mg2 0.000 0.000 0.500  0.01
Mg3 0.500 0.000 0.000  0.01
Tc1 0.500 0.500 0.500  3.78
Rb1 0.000 0.000 0.000  -0.01

Entry 8:
Compound: RbMg3Tc
Source: the Alexandria database
Functional: PBE
Structure: optimized geometry

**ρ**: 2874 kg/m3
**ΔH_f (0 K)**: 270 kJ/mol of formula units

Lattice parameters (Å, degrees): 5.291 5.291 5.291 90.00 90.00 90.00
Last column: magnetic moment on the atom in μB.
Sites, in units of the cell vectors:
Mg1 0.000 0.500 0.000  0.01
Mg2 0.000 0.000 0.500  -0.01
Mg3 0.500 0.000 0.000  0.00
Tc1 0.000 0.000 0.000  0.76
Rb1 0.500 0.500 0.500  -0.01

Q: What is the ρ in the sixth record?
A: 2142 kg/m3

Q: Which of these has the highest ρ?
A: RbTb2MgTe4

Q: ρ of number 2 (Rb3Tb3MgTe8)?
A: 4984 kg/m3